# Sr2CrAuN

A relaxed Sr2CrAuN crystal (PBE-GGA, the Alexandria database).

Unit cell a=5.481 b=5.481 c=3.799 alpha=90.00 beta=90.00 gamma=90.00
Each line ends with the local moment (μB).
Element x y z (fractional)
Sr 0.000 0.500 0.000  0.01
Sr 0.500 0.000 0.000  0.01
N 0.000 0.000 0.000  -0.19
Au 0.500 0.500 0.500  0.01
Cr 0.000 0.000 0.500  2.91

## Properties
As for the formation energy (no corrections): -525 meV/atom. The value obtained for the total energy is -5.443 eV per atom. The theoretical density is 6.4 Mg/m³. The total magnetization comes out at 3.1 μB per formula unit.